This record from the Alexandria database describes a PBEsol-optimized structure of InBi2S4Br. The functional is meta-GGA SCAN.

Structure (CIF):
```
data_InBi2S4Br
_chemical_formula_sum 'In2 Bi4 S8 Br2'
_space_group_name_H-M_alt 'C 1 2/m 1'
_space_group_IT_number 12
_cell_length_a 12.450
_cell_length_b 3.907
_cell_length_c 8.363
_cell_angle_alpha 90.00
_cell_angle_beta 113.73
_cell_angle_gamma 90.00
loop_
_space_group_symop_operation_xyz
'x,y,z'
'-x,-y,-z'
'-x,y,-z'
'x,-y,z'
'x+1/2,y+1/2,z'
'-x+1/2,-y+1/2,-z'
'-x+1/2,y+1/2,-z'
'x+1/2,-y+1/2,z'
loop_
_atom_site_label
_atom_site_fract_x
_atom_site_fract_y
_atom_site_fract_z
In1 0.000 0.000 0.000
Bi1 0.207 0.000 0.726
S1 0.125 0.500 0.943
S2 0.160 0.000 0.319
Br1 0.000 0.500 0.500
```

Computed properties:
ΔE_f (raw) in meV per atom: -492
Raw total energy in Ha/atom: -1.160